The following is a PBE calculation of a relaxed TaCuHIr2 crystal, from Alexandria.

Calculated values
E_tot = -7.537 eV/atom
D(E_F) = 0.704 states/eV/atom

a = 4.026 Å, b = 4.026 Å, c = 3.798 Å
α = 90.00°, β = 90.00°, γ = 90.00°
Space group P4/mmm (No. 123)
Asymmetric unit:
Ta  0.000  0.000  0.000 (multiplicity 1)
Cu  0.500  0.500  0.000 (multiplicity 1)
H  0.500  0.500  0.500 (multiplicity 1)
Ir  0.000  0.500  0.500 (multiplicity 2)